Run A
The following is a meta-GGA SCAN calculation of LaTe2Pt at its PBEsol-relaxed geometry, from Alexandria.

Geometry as CIF:
```
data_LaTe2Pt
_chemical_formula_sum 'La2 Te4 Pt2'
_space_group_name_H-M_alt 'A m m 2'
_space_group_IT_number 38
_cell_length_a 4.138
_cell_length_b 4.238
_cell_length_c 12.955
_cell_angle_alpha 90.00
_cell_angle_beta 90.00
_cell_angle_gamma 90.00
loop_
_space_group_symop_operation_xyz
'x,y,z'
'-x,-y,z'
'-x,y,z'
'x,-y,z'
'x,y+1/2,z+1/2'
'-x,-y+1/2,z+1/2'
'-x,y+1/2,z+1/2'
'x,-y+1/2,z+1/2'
loop_
_atom_site_label
_atom_site_fract_x
_atom_site_fract_y
_atom_site_fract_z
La1 0.000 0.000 0.000
Te1 0.000 0.000 0.713
Te2 0.500 0.000 0.390
Pt1 0.500 0.000 0.592
```



Run B
The following is a meta-GGA SCAN calculation of LaTe2Pt at its PBEsol-relaxed geometry, from Alexandria.

Geometry as CIF:
```
data_LaTe2Pt
_chemical_formula_sum 'La1 Te2 Pt1'
_space_group_name_H-M_alt 'P 4/m m m'
_space_group_IT_number 123
_space_group_name_Hall '-P 4 2'
_cell_length_a 3.846
_cell_length_b 3.846
_cell_length_c 6.618
_cell_angle_alpha 90.00
_cell_angle_beta 90.00
_cell_angle_gamma 90.00
loop_
_atom_site_label
_atom_site_fract_x
_atom_site_fract_y
_atom_site_fract_z
La1 0.000 0.000 0.000
Te1 0.500 0.500 0.273
Pt1 0.000 0.000 0.500
```



Which structure loses on stability? run B does.



Run A
The following is a meta-GGA SCAN calculation of LaPtW2 at its PBEsol-relaxed geometry, from Alexandria.

Geometry as CIF:
```
data_LaPtW2
_chemical_formula_sum 'La3 Pt3 W6'
_space_group_name_H-M_alt 'R 3 m'
_space_group_IT_number 160
_space_group_name_Hall 'R 3 -2"'
_cell_length_a 2.8710
_cell_length_b 2.8710
_cell_length_c 30.4860
_cell_angle_alpha 90.00
_cell_angle_beta 90.00
_cell_angle_gamma 120.00
loop_
_atom_site_label
_atom_site_fract_x
_atom_site_fract_y
_atom_site_fract_z
La1 0.0000 0.0000 0.0000
Pt1 0.0000 0.0000 0.7577
W1 0.0000 0.0000 0.2383
W2 0.0000 0.0000 0.4945
```



Run B
The following is a meta-GGA SCAN calculation of LaPtW2 at its PBEsol-relaxed geometry, from Alexandria.

Geometry as CIF:
```
data_LaPtW2
_chemical_formula_sum 'La2 Pt2 W4'
_space_group_name_H-M_alt 'C m m 2'
_space_group_IT_number 35
_cell_length_a 3.351
_cell_length_b 4.651
_cell_length_c 9.318
_cell_angle_alpha 90.00
_cell_angle_beta 90.00
_cell_angle_gamma 90.00
loop_
_space_group_symop_operation_xyz
'x,y,z'
'-x,-y,z'
'-x,y,z'
'x,-y,z'
'x+1/2,y+1/2,z'
'-x+1/2,-y+1/2,z'
'-x+1/2,y+1/2,z'
'x+1/2,-y+1/2,z'
loop_
_atom_site_label
_atom_site_fract_x
_atom_site_fract_y
_atom_site_fract_z
La1 0.000 0.000 0.000
Pt1 0.000 0.500 0.726
W1 0.000 0.000 0.506
W2 0.000 0.500 0.288
```



Which structure loses on stability? run A does.



Run A
The following is a meta-GGA SCAN calculation of LaYPt2 at its PBEsol-relaxed geometry, from Alexandria.

Geometry as CIF:
```
data_LaYPt2
_chemical_formula_sum 'La2 Y2 Pt4'
_space_group_name_H-M_alt 'A m m 2'
_space_group_IT_number 38
_cell_length_a 4.499
_cell_length_b 3.806
_cell_length_c 10.656
_cell_angle_alpha 90.00
_cell_angle_beta 90.00
_cell_angle_gamma 90.00
loop_
_space_group_symop_operation_xyz
'x,y,z'
'-x,-y,z'
'-x,y,z'
'x,-y,z'
'x,y+1/2,z+1/2'
'-x,-y+1/2,z+1/2'
'-x,y+1/2,z+1/2'
'x,-y+1/2,z+1/2'
loop_
_atom_site_label
_atom_site_fract_x
_atom_site_fract_y
_atom_site_fract_z
La1 0.000 0.000 0.000
Y1 0.500 0.000 0.726
Pt1 0.000 0.000 0.272
Pt2 0.500 0.000 0.448
```



Run B
The following is a meta-GGA SCAN calculation of LaYPt2 at its PBEsol-relaxed geometry, from Alexandria.

Geometry as CIF:
```
data_LaYPt2
_chemical_formula_sum 'La4 Y4 Pt8'
_space_group_name_H-M_alt 'F -4 3 m'
_space_group_IT_number 216
_space_group_name_Hall 'F -4 2 3'
_cell_length_a 6.820
_cell_length_b 6.820
_cell_length_c 6.820
_cell_angle_alpha 90.00
_cell_angle_beta 90.00
_cell_angle_gamma 90.00
loop_
_atom_site_label
_atom_site_fract_x
_atom_site_fract_y
_atom_site_fract_z
La1 0.000 0.000 0.000
Y1 0.250 0.250 0.750
Pt1 0.000 0.000 0.500
Pt2 0.250 0.250 0.250
```



Which structure loses on stability? run B does.



Run A
The following is a meta-GGA SCAN calculation of LaY2Pt2 at its PBEsol-relaxed geometry, from Alexandria.

Geometry as CIF:
```
data_LaY2Pt2
_chemical_formula_sum 'La2 Y4 Pt4'
_space_group_name_H-M_alt 'I 4/m m m'
_space_group_IT_number 139
_space_group_name_Hall '-I 4 2'
_cell_length_a 4.661
_cell_length_b 4.661
_cell_length_c 11.551
_cell_angle_alpha 90.00
_cell_angle_beta 90.00
_cell_angle_gamma 90.00
loop_
_atom_site_label
_atom_site_fract_x
_atom_site_fract_y
_atom_site_fract_z
La1 0.000 0.000 0.000
Y1 0.000 0.500 0.250
Pt1 0.000 0.000 0.387
```



Run B
The following is a meta-GGA SCAN calculation of LaY2Pt2 at its PBEsol-relaxed geometry, from Alexandria.

Geometry as CIF:
```
data_LaY2Pt2
_chemical_formula_sum 'La2 Y4 Pt4'
_space_group_name_H-M_alt 'P 4/m b m'
_space_group_IT_number 127
_space_group_name_Hall '-P 4 2ab'
_cell_length_a 7.763
_cell_length_b 7.763
_cell_length_c 3.926
_cell_angle_alpha 90.00
_cell_angle_beta 90.00
_cell_angle_gamma 90.00
loop_
_atom_site_label
_atom_site_fract_x
_atom_site_fract_y
_atom_site_fract_z
La1 0.000 0.000 0.000
Y1 0.159 0.341 0.500
Pt1 0.134 0.634 0.000
```



Which structure loses on stability? run A does.



Run A
The following is a meta-GGA SCAN calculation of LaY2Pt at its PBEsol-relaxed geometry, from Alexandria.

Geometry as CIF:
```
data_LaY2Pt
_chemical_formula_sum 'La2 Y4 Pt2'
_space_group_name_H-M_alt 'I -4 m 2'
_space_group_IT_number 119
_space_group_name_Hall 'I -4 -2'
_cell_length_a 4.365
_cell_length_b 4.365
_cell_length_c 10.327
_cell_angle_alpha 90.00
_cell_angle_beta 90.00
_cell_angle_gamma 90.00
loop_
_atom_site_label
_atom_site_fract_x
_atom_site_fract_y
_atom_site_fract_z
La1 0.000 0.000 0.000
Y1 0.000 0.000 0.500
Y2 0.000 0.500 0.750
Pt1 0.000 0.500 0.250
```



Run B
The following is a meta-GGA SCAN calculation of LaY2Pt at its PBEsol-relaxed geometry, from Alexandria.

Geometry as CIF:
```
data_LaY2Pt
_chemical_formula_sum 'La2 Y4 Pt2'
_space_group_name_H-M_alt 'I m m m'
_space_group_IT_number 71
_space_group_name_Hall '-I 2 2'
_cell_length_a 3.624
_cell_length_b 5.359
_cell_length_c 11.252
_cell_angle_alpha 90.00
_cell_angle_beta 90.00
_cell_angle_gamma 90.00
loop_
_atom_site_label
_atom_site_fract_x
_atom_site_fract_y
_atom_site_fract_z
La1 0.000 0.000 0.000
Y1 0.000 0.500 0.197
Pt1 0.000 0.000 0.500
```



Which structure loses on stability? run A does.



Run A
The following is a meta-GGA SCAN calculation of La2ZrPt at its PBEsol-relaxed geometry, from Alexandria.

Geometry as CIF:
```
data_La2ZrPt
_chemical_formula_sum 'La4 Zr2 Pt2'
_space_group_name_H-M_alt 'I m m 2'
_space_group_IT_number 44
_cell_length_a 3.557
_cell_length_b 5.362
_cell_length_c 10.864
_cell_angle_alpha 90.00
_cell_angle_beta 90.00
_cell_angle_gamma 90.00
loop_
_space_group_symop_operation_xyz
'x,y,z'
'-x,-y,z'
'-x,y,z'
'x,-y,z'
'x+1/2,y+1/2,z+1/2'
'-x+1/2,-y+1/2,z+1/2'
'-x+1/2,y+1/2,z+1/2'
'x+1/2,-y+1/2,z+1/2'
loop_
_atom_site_label
_atom_site_fract_x
_atom_site_fract_y
_atom_site_fract_z
La1 0.000 0.000 0.000
La2 0.000 0.500 0.210
Zr1 0.000 0.000 0.420
Pt1 0.000 0.500 0.737
```



Run B
The following is a meta-GGA SCAN calculation of La2ZrPt at its PBEsol-relaxed geometry, from Alexandria.

Geometry as CIF:
```
data_La2ZrPt
_chemical_formula_sum 'La4 Zr2 Pt2'
_space_group_name_H-M_alt 'I -4 m 2'
_space_group_IT_number 119
_space_group_name_Hall 'I -4 -2'
_cell_length_a 4.328
_cell_length_b 4.328
_cell_length_c 10.272
_cell_angle_alpha 90.00
_cell_angle_beta 90.00
_cell_angle_gamma 90.00
loop_
_atom_site_label
_atom_site_fract_x
_atom_site_fract_y
_atom_site_fract_z
La1 0.000 0.000 0.000
La2 0.000 0.500 0.250
Zr1 0.000 0.500 0.750
Pt1 0.000 0.000 0.500
```



Which structure loses on stability? run B does.